# 1
DFT (GGA-PBEsol) results for an optimized crystal structure of Tl2CrRu.

a = 3.3181 Å, b = 3.3181 Å, c = 6.4931 Å
α = 90.00°, β = 90.00°, γ = 90.00°
Space group P4/mmm (No. 123)
Asymmetric unit:
Tl 0.0000 0.0000 0.2419 [2 per cell]
Cr 0.5000 0.5000 0.5000 [1 per cell]
Ru 0.5000 0.5000 0.0000 [1 per cell]

Theoretical density = 13.05 g/cm3
Uncorrected energy = -0.4239 Ry per atom
DFT formation energy = 0.651 eV/atom

# 2
DFT (GGA-PBEsol) results for an optimized crystal structure of Ti2SbBrCl.

a = 5.2980 Å, b = 5.2980 Å, c = 5.4852 Å
α = 90.00°, β = 90.00°, γ = 90.00°
Space group P4/mmm (No. 123)
Asymmetric unit:
Ti 0.0000 0.5000 0.0000 [2 per cell]
Sb 0.0000 0.0000 0.0000 [1 per cell]
Br 0.0000 0.0000 0.5000 [1 per cell]
Cl 0.5000 0.5000 0.5000 [1 per cell]

Theoretical density = 3.59 g/cm3
Uncorrected energy = -0.3290 Ry per atom
Raw formation energy = 0.540 eV/atom

# 3
DFT (GGA-PBEsol) results for an optimized crystal structure of BeAsIr2.

a = 3.5537 Å, b = 3.5537 Å, c = 8.3389 Å
α = 90.00°, β = 90.00°, γ = 90.00°
Space group I-4m2 (No. 119)
Asymmetric unit:
Be 0.0000 0.0000 0.0000 [2 per cell]
As 0.0000 0.5000 0.7500 [2 per cell]
Ir 0.0000 0.0000 0.5000 [2 per cell]
Ir 0.0000 0.5000 0.2500 [2 per cell]

Theoretical density = 14.77 g/cm3
Uncorrected energy = -0.5206 Ry per atom
Excess energy over the best structure of this formula in the dataset = 0.218 eV per atom
DFT formation energy = 0.106 eV/atom

# 4
DFT (GGA-PBEsol) results for an optimized crystal structure of TmAlNi.

a = 8.3110 Å, b = 5.2737 Å, c = 9.0046 Å
α = 90.00°, β = 90.00°, γ = 90.00°
Space group Amm2 (No. 38)
Asymmetric unit:
Tm 0.1744 0.0000 0.0000 [4 per cell]
Tm 0.2925 0.0000 0.3360 [4 per cell]
Al 0.2378 0.0000 0.6741 [4 per cell]
Al 0.5000 0.2454 0.0810 [4 per cell]
Ni 0.0000 0.0000 0.5032 [2 per cell]
Ni 0.0000 0.2457 0.2548 [4 per cell]
Ni 0.5000 0.0000 0.8357 [2 per cell]

Theoretical density = 8.57 g/cm3
Uncorrected energy = -0.4120 Ry per atom
DFT formation energy = -0.556 eV/atom

# 5
DFT (GGA-PBEsol) results for an optimized crystal structure of MnRu2.

a = 4.1438 Å, b = 4.1438 Å, c = 2.6176 Å
α = 90.00°, β = 90.00°, γ = 120.00°
Space group P-3m1 (No. 164)
Asymmetric unit:
Mn 0.0000 0.0000 0.0000 [1 per cell]
Ru 0.3333 0.6667 0.7348 [2 per cell]

Theoretical density = 10.97 g/cm3
Uncorrected energy = -0.7145 Ry per atom
DFT formation energy = 0.314 eV/atom

# 6
DFT (GGA-PBEsol) results for an optimized crystal structure of Cr22MoC6.

a = 10.4749 Å, b = 10.4749 Å, c = 10.4749 Å
α = 90.00°, β = 90.00°, γ = 90.00°
Space group Fm-3m (No. 225)
Asymmetric unit:
Cr 0.0000 0.1728 0.1728 [48 per cell]
Cr 0.1185 0.1185 0.3815 [32 per cell]
Cr 0.2500 0.2500 0.2500 [8 per cell]
Mo 0.0000 0.0000 0.0000 [4 per cell]
C 0.0000 0.0000 0.2755 [24 per cell]

Theoretical density = 7.58 g/cm3
Uncorrected energy = -0.7557 Ry per atom
DFT formation energy = -0.111 eV/atom

# 7
DFT (GGA-PBEsol) results for an optimized crystal structure of LaScFe.

a = 3.1979 Å, b = 3.1979 Å, c = 12.6418 Å
α = 90.00°, β = 90.00°, γ = 90.00°
Space group I4mm (No. 107)
Asymmetric unit:
La 0.0000 0.0000 0.0000 [2 per cell]
Sc 0.0000 0.0000 0.2519 [2 per cell]
Fe 0.0000 0.0000 0.6425 [2 per cell]

Theoretical density = 6.16 g/cm3
Uncorrected energy = -0.5064 Ry per atom
Excess energy over the best structure of this formula in the dataset = 0.000 eV per atom
DFT formation energy = 0.081 eV/atom

# 8
DFT (GGA-PBEsol) results for an optimized crystal structure of CeZnB5O10.

a = 8.7252 Å, b = 7.6034 Å, c = 12.5555 Å
α = 90.00°, β = 131.07°, γ = 90.00°
Space group P2_1/c (No. 14)
Asymmetric unit:
Ce 0.0536 0.1831 0.2362 [4 per cell]
Zn 0.4844 0.5875 0.8759 [4 per cell]
B 0.0928 0.6729 0.6091 [4 per cell]
B 0.1550 0.5973 0.0026 [4 per cell]
B 0.2711 0.0328 0.0526 [4 per cell]
B 0.3509 0.5804 0.2644 [4 per cell]
B 0.4856 0.1869 0.9153 [4 per cell]
O 0.0272 0.7237 0.9875 [4 per cell]
O 0.0872 0.1063 0.9154 [4 per cell]
O 0.1164 0.5428 0.8848 [4 per cell]
O 0.2077 0.7155 0.2371 [4 per cell]
O 0.2312 0.5241 0.6459 [4 per cell]
O 0.3184 0.5365 0.1347 [4 per cell]
O 0.3197 0.6275 0.5089 [4 per cell]
O 0.3225 0.0847 0.8104 [4 per cell]
O 0.4332 0.1509 0.4323 [4 per cell]
O 0.4445 0.1524 0.1290 [4 per cell]

Theoretical density = 4.44 g/cm3
Uncorrected energy = -0.5991 Ry per atom
Raw formation energy = -2.519 eV/atom

# 9
DFT (GGA-PBEsol) results for an optimized crystal structure of K17In12.

a = 12.8618 Å, b = 12.8618 Å, c = 12.8618 Å
α = 90.00°, β = 90.00°, γ = 90.00°
Space group I-43m (No. 217)
Asymmetric unit:
K 0.0000 0.0000 0.0000 [2 per cell]
K 0.0594 0.3639 0.6361 [24 per cell]
K 0.1685 0.1685 0.1685 [8 per cell]
In 0.0940 0.0940 0.7367 [24 per cell]

Theoretical density = 3.19 g/cm3
Uncorrected energy = -0.1422 Ry per atom
DFT formation energy = -0.036 eV/atom

# 10
DFT (GGA-PBEsol) results for an optimized crystal structure of CuSiIN2.

a = 3.5130 Å, b = 3.5130 Å, c = 6.5259 Å
α = 90.00°, β = 90.00°, γ = 90.00°
Space group P4/mmm (No. 123)
Asymmetric unit:
Cu 0.0000 0.0000 0.0000 [1 per cell]
Si 0.5000 0.5000 0.5000 [1 per cell]
I 0.5000 0.5000 0.0000 [1 per cell]
N 0.0000 0.5000 0.5000 [2 per cell]

Theoretical density = 5.08 g/cm3
Uncorrected energy = -0.3849 Ry per atom
Raw formation energy = 0.544 eV/atom

# 11
DFT (GGA-PBEsol) results for an optimized crystal structure of MnTeBrN2.

a = 3.8437 Å, b = 3.8437 Å, c = 7.1799 Å
α = 90.00°, β = 90.00°, γ = 90.00°
Space group P4/mmm (No. 123)
Asymmetric unit:
Mn 0.0000 0.0000 0.0000 [1 per cell]
Te 0.5000 0.5000 0.0000 [1 per cell]
Br 0.5000 0.5000 0.5000 [1 per cell]
N 0.0000 0.5000 0.5000 [2 per cell]

Theoretical density = 4.55 g/cm3
Uncorrected energy = -0.3286 Ry per atom
Raw formation energy = 1.971 eV/atom

# 12
DFT (GGA-PBEsol) results for an optimized crystal structure of TiBr4.

a = 11.2837 Å, b = 11.2837 Å, c = 11.2837 Å
α = 90.00°, β = 90.00°, γ = 90.00°
Space group Pa-3 (No. 205)
Asymmetric unit:
Ti 0.1300 0.1300 0.1300 [8 per cell]
Br 0.0087 0.2482 0.0141 [24 per cell]
Br 0.2484 0.2484 0.2484 [8 per cell]

Theoretical density = 3.40 g/cm3
Uncorrected energy = -0.3152 Ry per atom
Raw formation energy = -1.129 eV/atom

Question: theoretical density of number 10 (CuSiIN2)?
Answer: 5.08 g/cm3